No. 1
Below is an optimized crystal structure of AsCl2, with properties calculated at the PBE-GGA level.

**Formation energy from raw total energies**: -0.066 eV/atom
**DFT total energy**: -2.85 eV/atom
**Space group**: P6_3/mmc
**Calculated density**: 3.286 g/cm3
**Total moment**: 0.0000 μB/atom

abc: 3.413 3.413 14.610
angles: 90.00 90.00 120.00
Positions (direct):
As1 0.000 0.000 0.250
As2 0.000 0.000 0.750
Cl1 0.333 0.667 0.124
Cl2 0.333 0.667 0.376
Cl3 0.667 0.333 0.624
Cl4 0.667 0.333 0.876

=====

No. 2
Below is an optimized crystal structure of As5Cl, with properties calculated at the PBE-GGA level.

**Formation energy from raw total energies**: 0.375 eV/atom
**DFT total energy**: -3.81 eV/atom
**Space group**: P6/mmm
**Calculated density**: 5.333 g/cm3
**Total moment**: 0.0000 μB/atom

abc: 5.316 5.316 5.216
angles: 90.00 90.00 120.00
Positions (direct):
As1 0.000 0.500 0.000
As2 0.333 0.667 0.500
As3 0.500 0.000 0.000
As4 0.500 0.500 0.000
As5 0.667 0.333 0.500
Cl1 0.000 0.000 0.500

=====

No. 3
Below is an optimized crystal structure of As4Cl, with properties calculated at the PBE-GGA level.

**Formation energy from raw total energies**: 1.156 eV/atom
**DFT total energy**: -2.93 eV/atom
**Space group**: Pm-3m
**Calculated density**: 4.802 g/cm3
**Total moment**: 0.0000 μB/atom

abc: 4.876 4.876 4.876
angles: 90.00 90.00 90.00
Positions (direct):
As1 0.000 0.000 0.000
As2 0.000 0.500 0.500
As3 0.500 0.000 0.500
As4 0.500 0.500 0.000
Cl1 0.500 0.500 0.500

=====

No. 4
Below is an optimized crystal structure of As5Cl, with properties calculated at the PBE-GGA level.

**Formation energy from raw total energies**: 0.031 eV/atom
**DFT total energy**: -4.15 eV/atom
**Space group**: Cm
**Calculated density**: 4.510 g/cm3
**Total moment**: 0.0000 μB/atom

abc: 4.076 4.076 11.811
angles: 101.72 101.72 52.18
Positions (direct):
As1 0.000 0.000 0.000
As2 0.244 0.244 0.731
As3 0.544 0.544 0.458
As4 0.666 0.666 0.882
As5 0.942 0.942 0.584
Cl1 0.299 0.299 0.303

=====

Look up the formation energy from raw total energies of the fourth one. 0.031 eV/atom